Here is a relaxed structure of FeCo2NiO4 from Alexandria. Energies are from GGA+U.

## Properties
Space-group type: C2/c
M_tot (μB per formula unit): 11.999

Unit cell a=6.112 b=6.112 c=6.080 alpha=120.17 beta=120.17 gamma=89.91
Last column: magnetic moment on the atom in μB.
Atoms (fractional coordinates):
O: 0.748 0.259 0.004  0.19
O: 0.258 0.260 0.009  0.19
O: 0.759 0.248 0.504  0.19
O: 0.241 0.752 0.496  0.19
O: 0.252 0.741 0.996  0.19
O: 0.742 0.740 0.991  0.19
O: 0.760 0.758 0.509  0.19
O: 0.240 0.242 0.491  0.19
Ni: 0.000 0.500 0.500  1.79
Ni: 0.000 0.500 0.000  1.79
Co: 0.500 0.500 0.000  2.73
Co: 0.500 0.000 0.000  2.74
Co: 0.000 0.000 0.500  2.73
Co: 0.500 0.000 0.500  2.74
Fe: 0.000 0.000 0.000  3.78
Fe: 0.500 0.500 0.500  3.78



Here is a relaxed structure of FeCoNi2O4 from Alexandria. Energies are from GGA+U.

## Properties
Space-group type: Fmmm
M_tot (μB per formula unit): 10.987

Unit cell a=4.286 b=4.286 c=5.271 alpha=114.36 beta=114.36 gamma=89.18
Last column: magnetic moment on the atom in μB.
Atoms (fractional coordinates):
Fe: 0.937 0.937 0.000  3.76
O: 0.437 0.937 0.000  0.18
O: 0.193 0.193 0.512  0.18
O: 0.937 0.437 0.000  0.18
O: 0.681 0.681 0.488  0.18
Co: 0.437 0.437 0.000  2.74
Ni: 0.187 0.687 0.500  1.79
Ni: 0.687 0.187 0.500  1.79



Here is a relaxed structure of Fe3CoNi2P6O24 from Alexandria. Energies are from GGA+U.

## Properties
Space-group type: R3
M_tot (μB per formula unit): 24.887

Unit cell a=8.500 b=8.500 c=8.500 alpha=60.86 beta=60.86 gamma=60.86
Last column: magnetic moment on the atom in μB.
Atoms (fractional coordinates):
O: 0.999 0.614 0.821  0.26
O: 0.256 0.908 0.060  0.15
O: 0.593 0.245 0.444  0.16
O: 0.936 0.749 0.089  0.22
O: 0.562 0.406 0.755  0.17
O: 0.755 0.562 0.406  0.17
O: 0.821 0.999 0.614  0.26
O: 0.998 0.393 0.176  0.12
O: 0.614 0.821 0.999  0.26
O: 0.245 0.444 0.593  0.16
O: 0.060 0.256 0.908  0.15
O: 0.314 0.112 0.509  0.12
O: 0.112 0.509 0.314  0.12
O: 0.393 0.176 0.998  0.12
O: 0.444 0.593 0.245  0.16
O: 0.176 0.998 0.393  0.12
O: 0.908 0.060 0.256  0.15
O: 0.749 0.089 0.936  0.22
O: 0.089 0.936 0.749  0.22
O: 0.509 0.314 0.112  0.12
O: 0.406 0.755 0.562  0.17
O: 0.499 0.677 0.892  0.12
O: 0.677 0.892 0.499  0.12
O: 0.892 0.499 0.677  0.12
P: 0.454 0.749 0.046  0.02
P: 0.955 0.547 0.247  0.02
P: 0.749 0.046 0.454  0.02
P: 0.046 0.454 0.749  0.02
P: 0.247 0.955 0.547  0.02
P: 0.547 0.247 0.955  0.02
Co: 0.854 0.854 0.854  3.19
Fe: 0.356 0.356 0.356  4.40
Fe: 0.644 0.644 0.644  4.40
Fe: 0.144 0.144 0.144  4.40
Ni: 0.501 0.501 0.501  1.83
Ni: 0.999 0.999 0.999  1.83



Here is a relaxed structure of Sr4Fe2CoNiO12 from Alexandria. Energies are from GGA+U.

## Properties
Space-group type: R3m
M_tot (μB per formula unit): 12.533

Unit cell a=9.535 b=9.535 c=9.535 alpha=33.56 beta=33.56 gamma=33.56
Last column: magnetic moment on the atom in μB.
Atoms (fractional coordinates):
Sr: 0.000 0.000 0.000  -0.01
Sr: 0.251 0.251 0.251  0.00
Sr: 0.749 0.749 0.749  -0.01
Sr: 0.500 0.500 0.500  0.00
O: 0.499 0.001 0.001  -0.07
O: 0.754 0.249 0.249  0.01
O: 0.748 0.748 0.255  -0.10
O: 0.001 0.499 0.001  -0.07
O: 0.748 0.255 0.748  -0.10
O: 0.502 0.990 0.502  -0.06
O: 0.502 0.502 0.990  -0.06
O: 0.249 0.754 0.249  0.01
O: 0.001 0.001 0.499  -0.07
O: 0.990 0.502 0.502  -0.06
O: 0.249 0.249 0.754  0.01
O: 0.255 0.748 0.748  -0.10
Ni: 0.375 0.375 0.375  -1.53
Fe: 0.124 0.124 0.124  -3.85
Fe: 0.875 0.875 0.875  -3.99
Co: 0.626 0.626 0.626  -2.23



| no. | VASP energy (eV per atom) |
| --- | --- |
| 1 | -5.863 |
| 2 | -5.560 |
| 3 | -6.730 |
| 4 | -5.985 |